Entry 1:
First-principles (PBE) data for a relaxed structure of Er3Hg3Pb4, as listed in Alexandria.

Output
DFT formation energy ... -221 meV per atom
Symmetry ... I-43d (220)

Cell lengths 8.9319, 8.9319, 8.9319 Å; angles 109.47, 109.46, 109.48 degrees
Sites, in units of the cell vectors:
Pb 0.0000 0.0000 0.7911
Pb 0.7911 0.5000 0.0000
Pb 0.0000 0.0000 0.2911
Pb 0.2911 0.5000 0.0000
Pb 0.5000 0.7911 0.5000
Pb 0.5000 0.2911 0.5000
Pb 0.2089 0.7089 0.7089
Pb 0.7089 0.2089 0.2089
Hg 0.6250 0.8750 0.2500
Hg 0.8750 0.6250 0.7500
Hg 0.3750 0.2500 0.1250
Hg 0.7500 0.1250 0.8750
Hg 0.2500 0.3750 0.6250
Hg 0.1250 0.7500 0.3750
Er 0.2500 0.8750 0.1250
Er 0.3750 0.1250 0.7500
Er 0.8750 0.2500 0.6250
Er 0.1250 0.3750 0.2500
Er 0.6250 0.7500 0.8750
Er 0.7500 0.6250 0.3750


Entry 2:
First-principles (PBE) data for a relaxed structure of Er3HgPb2, as listed in Alexandria.

Output
DFT formation energy ... -389 meV per atom
Symmetry ... Pnma (62)

Cell lengths 4.7340, 11.4472, 12.4266 Å; angles 90.00, 90.00, 90.00 degrees
Sites, in units of the cell vectors:
Pb 0.7500 0.3349 0.5072
Pb 0.2500 0.6651 0.4928
Pb 0.2500 0.9595 0.3215
Pb 0.2500 0.5405 0.8215
Pb 0.7500 0.1651 0.0072
Pb 0.7500 0.0405 0.6785
Pb 0.7500 0.4595 0.1785
Pb 0.2500 0.8349 0.9928
Er 0.7500 0.8735 0.4701
Er 0.7500 0.9220 0.1428
Er 0.2500 0.1265 0.5299
Er 0.2500 0.8184 0.6977
Er 0.7500 0.3184 0.8023
Er 0.2500 0.6816 0.1977
Er 0.7500 0.6265 0.9701
Er 0.2500 0.0780 0.8572
Er 0.2500 0.4220 0.3572
Er 0.7500 0.5780 0.6428
Er 0.2500 0.3735 0.0299
Er 0.7500 0.1816 0.3023
Hg 0.7500 0.6600 0.3367
Hg 0.2500 0.1600 0.1633
Hg 0.2500 0.3400 0.6633
Hg 0.7500 0.8400 0.8367


Entry 3:
First-principles (PBE) data for a relaxed structure of ErHgPb, as listed in Alexandria.

Output
DFT formation energy ... -237 meV per atom
Symmetry ... Cc (9)

Cell lengths 4.3674, 4.3674, 9.5812 Å; angles 106.29, 106.29, 91.56 degrees
Sites, in units of the cell vectors:
Pb 0.9440 0.7752 0.9990
Pb 0.7752 0.9440 0.4990
Er 0.1439 0.2958 0.3316
Er 0.2958 0.1439 0.8316
Hg 0.5403 0.5475 0.6661
Hg 0.5475 0.5403 0.1661


Entry 4:
First-principles (PBE) data for a relaxed structure of Er3Hg2Pb, as listed in Alexandria.

Output
DFT formation energy ... -449 meV per atom
Symmetry ... P4/mmm (123)

Cell lengths 3.6947, 3.6947, 11.4441 Å; angles 90.00, 90.00, 90.00 degrees
Sites, in units of the cell vectors:
Pb 0.5000 0.5000 0.5000
Er 0.0000 0.0000 0.0000
Er 0.0000 0.0000 0.3188
Er 0.0000 0.0000 0.6812
Hg 0.5000 0.5000 0.1559
Hg 0.5000 0.5000 0.8441


Entry 5:
First-principles (PBE) data for a relaxed structure of Er4Hg7Pb, as listed in Alexandria.

Output
DFT formation energy ... -218 meV per atom
Symmetry ... C2/m (12)

Cell lengths 5.5229, 9.6609, 6.9194 Å; angles 80.68, 66.48, 73.39 degrees
Sites, in units of the cell vectors:
Hg 0.7952 0.9116 0.4981
Hg 0.0661 0.6533 0.2144
Hg 0.9339 0.3467 0.7856
Hg 0.6422 0.4611 0.2546
Hg 0.2048 0.0884 0.5019
Hg 0.3578 0.5389 0.7454
Hg 0.5000 0.0000 0.0000
Er 0.5841 0.2252 0.6065
Er 0.2614 0.3259 0.1513
Er 0.7386 0.6741 0.8487
Er 0.4159 0.7748 0.3935
Pb 0.0000 0.0000 0.0000


Entry 6:
First-principles (PBE) data for a relaxed structure of Er4Hg5Pb, as listed in Alexandria.

Output
DFT formation energy ... -393 meV per atom
Symmetry ... P4/mmm (123)

Cell lengths 3.7298, 3.7298, 18.3617 Å; angles 90.00, 90.00, 90.00 degrees
Sites, in units of the cell vectors:
Er 0.0000 0.0000 0.4011
Er 0.0000 0.0000 0.2017
Er 0.0000 0.0000 0.5989
Er 0.0000 0.0000 0.7983
Hg 0.5000 0.5000 0.1099
Hg 0.5000 0.5000 0.5000
Hg 0.5000 0.5000 0.8901
Hg 0.5000 0.5000 0.6943
Hg 0.5000 0.5000 0.3057
Pb 0.0000 0.0000 0.0000


Entry 7:
First-principles (PBE) data for a relaxed structure of ErHg6Pb, as listed in Alexandria.

Output
Polymorph energy (0 for the lowest one) ... 122 meV/atom
DFT formation energy ... -13 meV per atom
Symmetry ... R-3m (166)

Cell lengths 8.2349, 8.2349, 6.1635 Å; angles 48.08, 48.08, 60.00 degrees
Sites, in units of the cell vectors:
Hg 0.4736 0.8466 0.8332
Hg 0.5264 0.1534 0.1668
Hg 0.1534 0.1534 0.1668
Hg 0.8466 0.4736 0.8332
Hg 0.1534 0.5264 0.1668
Hg 0.8466 0.8466 0.8332
Pb 0.5000 0.5000 0.5000
Er 0.0000 0.0000 0.0000


Entry 8:
First-principles (PBE) data for a relaxed structure of Er4Hg3Pb, as listed in Alexandria.

Output
Polymorph energy (0 for the lowest one) ... 26 meV/atom
DFT formation energy ... -430 meV per atom
Symmetry ... Pmm2 (25)

Cell lengths 3.9891, 4.6578, 11.5156 Å; angles 90.00, 90.00, 90.00 degrees
Sites, in units of the cell vectors:
Hg 0.0000 0.5000 0.5905
Hg 0.5000 0.0000 0.9037
Hg 0.0000 0.0000 0.4106
Er 0.0000 0.5000 0.8544
Er 0.5000 0.0000 0.6390
Er 0.5000 0.5000 0.3660
Er 0.0000 0.0000 0.1470
Pb 0.5000 0.5000 0.0888


V for every record listed, in sequence, given in Å³ per atom: 27.427 28.059 27.876 26.036 26.993 25.543 28.793 26.746.